No. 1
BaHfSe2N | Alexandria via LeMat-Bulk | GGA-PBEsol | relaxed; DOS at the Fermi energy = 0.432 states/eV/atom; formation energy without anion corrections = -1.2309 eV/atom
1.0
5.299 0.000 0.000
0.000 5.299 0.000
0.000 0.000 4.151
Ba Hf Se N
1 1 2 1
Direct
0.000 0.000 0.000 Ba
0.500 0.500 0.500 Hf
0.000 0.500 0.500 Se
0.500 0.000 0.500 Se
0.500 0.500 0.000 N


No. 2
BaHfTeN2 | Alexandria via LeMat-Bulk | GGA-PBEsol | relaxed; DOS at the Fermi energy = 0.750 states/eV/atom; formation energy without anion corrections = -0.3906 eV/atom
1.0
4.422 0.000 0.000
0.000 4.422 0.000
0.000 0.000 5.621
Ba Hf Te N
1 1 1 2
Direct
0.000 0.000 0.000 Ba
0.500 0.500 0.500 Hf
0.500 0.500 0.000 Te
0.000 0.500 0.500 N
0.500 0.000 0.500 N